[1]
Compound: Ca5Mg
Source: Alexandria
Functional: PBE
Structure: optimized geometry

```
Ca5Mg
1.0
5.367 0.000 0.000
0.000 2.672 7.976
0.000 -2.672 7.976
Ca Mg
5 1
Cartesian
0.000 0.000 0.000
0.000 0.000 5.076
2.684 0.000 2.538
2.684 0.000 7.929
2.684 0.000 13.098
0.000 0.000 10.505
```

Magnetization ... 0.00 μB per cell
Calculated total energy ... -1.936 eV/atom
ΔE_f ... -1 kJ/mol of formula units
Excess energy over the best structure of this formula in the dataset ... 0.018 eV/atom

[2]
Compound: Ca5Mg2
Source: Alexandria
Functional: PBE
Structure: optimized geometry

```
Ca5Mg2
1.0
5.070 -2.927 0.000
5.070 2.927 0.000
-3.317 0.000 8.403
Ca Mg
5 2
Cartesian
0.000 0.000 0.000
0.028 0.000 3.667
3.398 0.000 2.108
3.425 0.000 6.295
6.795 0.000 4.737
0.053 0.000 7.038
6.770 0.000 1.365
```

Magnetization ... 0.00 μB per cell
Calculated total energy ... -1.905 eV/atom
ΔE_f ... -14 kJ/mol of formula units

[3]
Compound: CaMg5
Source: Alexandria
Functional: PBE
Structure: optimized geometry

```
CaMg5
1.0
0.000 4.272 4.272
4.272 0.000 4.272
4.272 4.272 0.000
Ca Mg
1 5
Cartesian
0.000 0.000 0.000
5.340 3.204 3.204
2.136 2.136 2.136
3.204 5.340 3.204
3.204 3.204 5.340
5.340 5.340 5.340
```

Magnetization ... 0.00 μB per cell
Calculated total energy ... -1.684 eV/atom
ΔE_f ... -12 kJ/mol of formula units

[4]
Compound: Ca4Mg
Source: Alexandria
Functional: PBE
Structure: optimized geometry

```
Ca4Mg
1.0
6.866 -1.994 0.000
6.866 1.994 0.000
-6.780 0.000 6.940
Ca Mg
4 1
Cartesian
-1.311 0.000 2.467
2.445 0.000 1.335
4.508 0.000 5.604
8.264 0.000 4.473
6.866 0.000 0.000
```

Magnetization ... 0.00 μB per cell
Calculated total energy ... -1.940 eV/atom
ΔE_f ... -10 kJ/mol of formula units
Excess energy over the best structure of this formula in the dataset ... 0.000 eV/atom

[5]
Compound: Ca2Mg3
Source: Alexandria
Functional: PBE
Structure: optimized geometry

```
Ca2Mg3
1.0
5.447 0.000 0.000
-2.723 4.717 0.000
0.000 0.000 6.798
Ca Mg
2 3
Cartesian
0.000 3.145 2.313
2.723 1.572 4.486
0.000 0.000 3.399
0.000 3.145 5.767
2.723 1.572 1.031
```

Magnetization ... 0.00 μB per cell
Calculated total energy ... -1.545 eV/atom
ΔE_f ... 103 kJ/mol of formula units

[6]
Compound: Ca4Mg
Source: Alexandria
Functional: PBE
Structure: optimized geometry

```
Ca4Mg
1.0
-4.207 4.207 2.649
4.207 -4.207 2.649
4.207 4.207 -2.649
Ca Mg
4 1
Cartesian
2.489 0.881 0.000
3.326 -1.718 2.649
0.881 5.925 0.000
1.718 3.326 2.649
0.000 0.000 2.649
```

Magnetization ... 0.00 μB per cell
Calculated total energy ... -1.910 eV/atom
ΔE_f ... 5 kJ/mol of formula units
Excess energy over the best structure of this formula in the dataset ... 0.031 eV/atom

[7]
Compound: Ca5Mg4
Source: Alexandria
Functional: PBE
Structure: optimized geometry

```
Ca5Mg4
1.0
-5.266 5.266 2.614
5.266 -5.266 2.614
5.266 5.266 -2.614
Ca Mg
5 4
Cartesian
0.000 0.000 0.000
3.450 3.450 0.000
1.815 -1.815 2.614
-1.815 1.815 2.614
1.815 1.815 2.614
3.685 0.000 0.000
6.846 0.000 0.000
0.000 3.685 0.000
0.000 6.846 0.000
```

Magnetization ... 0.00 μB per cell
Calculated total energy ... -1.837 eV/atom
ΔE_f ... -14 kJ/mol of formula units
Excess energy over the best structure of this formula in the dataset ... 0.028 eV/atom

[8]
Compound: Ca4Mg
Source: Alexandria
Functional: PBE
Structure: optimized geometry

```
Ca4Mg
1.0
7.139 0.000 0.000
0.000 7.139 0.000
0.000 0.000 7.686
Ca Mg
8 2
Cartesian
0.929 1.915 2.640
1.655 2.641 6.483
1.915 6.211 5.047
2.641 5.485 1.203
4.498 1.655 1.203
5.225 0.929 5.047
5.485 4.498 6.483
6.211 5.225 2.640
0.000 0.000 0.000
3.570 3.570 3.843
```

Magnetization ... 0.00 μB per cell
Calculated total energy ... -1.877 eV/atom
ΔE_f ... 21 kJ/mol of formula units
Excess energy over the best structure of this formula in the dataset ... 0.064 eV/atom